CaTb2Sm3: relaxed, PBE-GGA.

Lattice parameters (Å, degrees): 6.881 6.900 9.755 95.78 95.50 115.49
Fractional coordinates of all 12 atoms:
Ca (0.180, 0.430, 0.223)
Ca (0.820, 0.570, 0.777)
Tb (0.155, 0.906, 0.112)
Tb (0.486, 0.229, 0.443)
Tb (0.514, 0.771, 0.557)
Tb (0.845, 0.094, 0.888)
Sm (0.013, 0.255, 0.558)
Sm (0.321, 0.070, 0.776)
Sm (0.348, 0.598, 0.887)
Sm (0.652, 0.402, 0.113)
Sm (0.679, 0.930, 0.224)
Sm (0.987, 0.745, 0.442)

Raw total energy (eV/atom): -4.176
Space group: P-1

---

Sr2Ge2SbAu6: relaxed, PBE-GGA.

Lattice parameters (Å, degrees): 9.441 9.441 9.441 42.49 42.49 42.49
Fractional coordinates of all 11 atoms:
Sr (0.206, 0.206, 0.206)
Sr (0.794, 0.794, 0.794)
Ge (0.452, 0.452, 0.452)
Ge (0.548, 0.548, 0.548)
Sb (0.000, 0.000, 0.000)
Au (0.188, 0.772, 0.772)
Au (0.228, 0.228, 0.812)
Au (0.228, 0.812, 0.228)
Au (0.772, 0.188, 0.772)
Au (0.772, 0.772, 0.188)
Au (0.812, 0.228, 0.228)

Raw total energy (eV/atom): -3.604
Energy relative to the elements, uncorrected (meV/atom): -296
Space group: R-3m